[1]
First-principles (PBE) data for a geometry-optimized Cs2BaPbBr6 structure, as listed in Alexandria.

Structure (POSCAR):
```
Cs2BaPbBr6
1.0
-6.8147 -4.3196 2.3460
4.6734 -3.9706 6.2642
-2.8170 8.8599 7.7176
Br Cs Pb Ba
12 4 2 2
Cartesian
-0.4757 -1.2213 2.1610
-3.1977 -1.7413 11.1235
-0.0375 -0.1641 8.6380
-0.5826 4.4230 9.0309
-4.3758 -3.8533 7.2969
1.1298 -3.5965 5.4371
-1.7607 2.3110 5.2042
-6.0881 4.1662 10.8906
-4.6582 -0.4023 3.5613
-0.3001 0.9719 12.7664
-4.9208 0.7338 7.6898
-4.4826 1.7910 14.1668
-8.4753 2.1691 8.5046
-3.0209 2.1338 10.5468
3.5170 -1.5994 7.8231
-1.9375 -1.5641 5.7810
2.3367 -1.9853 3.1321
-4.8158 2.2701 5.0318
-3.4073 -2.1598 1.1730
0.9282 2.4447 6.9909
```

## Properties
* SG: P2_1/c, No. 14
* raw total energy: -68.04 eV per cell



[2]
First-principles (PBE) data for a geometry-optimized Eu3Zr5S12 structure, as listed in Alexandria.

Structure (POSCAR):
```
Eu3Zr5S12
1.0
13.8316 0.0000 0.0000
-4.6105 13.0405 0.0000
-4.6105 -6.5203 11.2934
S Zr Eu
48 20 12
Cartesian
-5.6954 3.4629 8.0069
8.1362 -4.5777 9.9377
4.4984 2.2737 6.6496
4.0577 -1.6938 3.6394
-4.4984 5.1585 10.9406
7.4686 -0.9552 2.3602
2.9495 4.7823 1.0045
5.1634 5.5650 8.9333
10.3059 3.0573 3.2865
5.2547 -1.7380 10.2890
-2.4174 -5.1585 10.9406
7.0280 3.6354 4.2910
8.6682 0.7386 5.2939
-1.7524 -0.7385 5.2939
9.8653 6.5193 2.0073
0.5528 8.2140 7.6541
9.1089 1.3617 0.3529
-3.5257 11.0980 1.3557
-1.6611 -0.0009 9.2861
0.1122 4.2466 4.6439
-4.7227 9.4051 4.2910
-0.6442 8.2582 1.0045
-1.0849 7.6350 4.6423
1.7524 4.8265 7.6541
5.6954 -1.1148 6.6512
1.2204 1.1148 6.6512
5.2547 1.7389 10.2906
3.3901 5.4055 4.6423
1.6611 1.7379 10.2890
5.8309 1.9426 1.3557
2.1931 8.7940 4.6439
2.9495 8.2591 1.0029
7.0279 11.6788 0.3529
-5.2547 0.0009 9.2861
2.8581 1.6938 3.6394
-1.2204 -3.4629 8.0069
5.8309 9.9832 3.2865
2.4174 -2.2737 6.6496
-4.0577 5.7817 5.9996
-2.4174 2.8848 7.0024
-2.8581 7.4755 8.9333
-0.5528 0.9552 2.3602
9.3332 -2.8848 7.0024
1.6611 -1.7389 10.2906
-1.2204 4.5777 9.9377
-0.6442 4.7814 1.0029
6.2716 6.5212 2.0073
6.3630 7.2588 5.9996
3.4579 9.7804 2.8234
-4.6105 3.2601 5.6467
6.9158 0.0000 0.0000
5.7632 3.2601 8.4701
-3.4579 7.3353 4.2350
3.4579 2.4451 1.4117
-2.3053 6.5203 0.0000
2.3053 3.2601 5.6467
4.6105 6.5203 0.0000
5.7632 5.7052 4.2350
-1.1526 0.8150 7.0584
1.1526 4.0752 9.8818
4.6105 -3.2601 5.6467
-1.1526 10.5954 1.4117
-2.3053 -3.2601 5.6467
-1.1526 3.2601 2.8234
1.1526 -3.2601 8.4701
5.7632 -4.0752 9.8818
8.0684 -0.8150 7.0584
0.0000 0.0000 0.0000
10.3737 0.0000 2.8234
-3.4579 -2.4451 9.8818
5.7632 0.8150 4.2350
1.1526 6.5203 2.8234
3.4579 0.0000 8.4701
-3.4579 2.4451 9.8818
8.0684 8.9654 1.4117
3.4579 7.3353 7.0584
1.1526 -0.8150 4.2350
8.0684 4.0752 1.4117
-1.1526 5.7052 7.0584
-5.7632 6.5203 8.4701
```

## Properties
* SG: Ia-3d, No. 230
* raw total energy: -618.68 eV per cell



[3]
First-principles (PBE) data for a geometry-optimized NdSmHg2 structure, as listed in Alexandria.

Structure (POSCAR):
```
NdSmHg2
1.0
-3.6231 1.2372 -0.4951
-2.8964 -1.6958 1.9074
-1.0650 5.9302 7.5621
Hg Nd Sm
2 1 1
Cartesian
-5.6842 4.1266 6.7574
-1.9003 1.3450 2.2169
-3.7923 2.7358 4.4871
0.0000 0.0000 0.0000
```

## Properties
* ΔE_f: -0.3202 eV/atom
* SG: R-3m, No. 166



[4]
First-principles (PBE) data for a geometry-optimized Pm4Ho2ThMg structure, as listed in Alexandria.

Structure (POSCAR):
```
Pm4Ho2ThMg
1.0
5.8953 0.0000 0.0000
0.0001 9.4344 -0.1778
0.0000 3.7591 4.5336
Mg Pm Ho Th
1 4 2 1
Cartesian
2.9477 8.4763 4.4447
2.9477 5.2315 3.3144
2.9477 7.9620 1.0414
0.0001 9.8464 3.3098
5.8953 3.3472 1.0459
0.0000 3.7591 4.5336
2.9477 1.8795 2.2668
0.0001 6.5967 2.1779
```

## Properties
* ΔE_f: 0.0927 eV/atom
* SG: P4/mmm, No. 123



[5]
First-principles (PBE) data for a geometry-optimized Nd2DySc6 structure, as listed in Alexandria.

Structure (POSCAR):
```
Nd2DySc6
1.0
0.1398 1.9847 -2.6343
-0.5945 -7.3901 -5.6054
-8.3226 -3.0773 -2.7662
Sc Nd Dy
6 2 1
Cartesian
-3.0839 -4.9698 -5.9820
-0.1271 -1.4556 -3.1726
-6.0909 -8.4550 -8.7737
-2.6863 -0.0274 -2.2324
-8.6502 -7.0267 -7.8334
-5.6935 -3.5134 -5.0232
-5.8048 -4.9935 -8.2151
-2.8329 -1.5048 -5.4250
-8.9169 -10.4670 -8.3716
```

## Properties
* ΔE_f: 0.0748 eV/atom
* SG: P6/mmm, No. 191



[6]
First-principles (PBE) data for a geometry-optimized Er2AsS structure, as listed in Alexandria.

Structure (POSCAR):
```
Er2AsS
1.0
5.6311 0.0000 0.0000
0.0000 5.6268 -0.2182
0.0000 0.4361 11.2289
S Er As
4 8 4
Cartesian
4.2236 5.6806 1.1856
1.4074 3.0852 6.9092
1.4074 0.3823 9.8251
4.2236 2.9776 4.1016
1.4080 5.6808 1.1779
4.2239 2.8678 1.3021
4.2231 0.3820 9.8328
1.4080 2.9774 4.1093
4.2239 0.1636 4.2033
4.2231 3.0855 6.9015
1.4072 5.8992 6.8075
1.4072 3.1950 9.7087
1.4081 0.1637 4.2110
1.4081 2.8677 1.2944
4.2230 5.8991 6.7997
4.2230 3.1951 9.7164
```

## Properties
* SG: I4_1/amd, No. 141
* raw total energy: -100.07 eV per cell



[7]
First-principles (PBE) data for a geometry-optimized MnNiW2Se structure, as listed in Alexandria.

Structure (POSCAR):
```
MnNiW2Se
1.0
-0.8012 -1.3782 -4.2577
4.1322 -1.9278 -0.1535
-1.7527 -3.8832 1.5868
Se W Ni Mn
1 2 1 1
Cartesian
2.0661 -0.9639 -0.0768
-0.4006 -0.6891 -2.1289
-0.8764 -1.9416 0.7934
0.0000 0.0000 0.0000
0.7892 -3.5946 -1.4122
```

## Properties
* SG: P4/mmm, No. 123
* raw total energy: -36.44 eV per cell



[8]
First-principles (PBE) data for a geometry-optimized CrC2 structure, as listed in Alexandria.

Structure (POSCAR):
```
CrC2
1.0
-2.5157 -0.5388 -1.4194
2.5025 0.3041 -1.5095
0.8610 -5.0829 0.4034
Cr C
1 2
Cartesian
0.0000 0.0000 0.0000
-0.1399 -4.4083 -1.1201
0.9877 -0.9093 -1.4055
```

## Properties
* ΔE_f: 1.8038 eV/atom
* SG: P-3m1, No. 164



[9]
First-principles (PBE) data for a geometry-optimized Cs2BaSi2O6 structure, as listed in Alexandria.

Structure (POSCAR):
```
Cs2BaSi2O6
1.0
-1.1850 5.7412 2.4744
-1.9370 -5.2371 3.0422
7.7054 1.3319 0.5998
Cs O Ba Si
2 6 1 2
Cartesian
-0.7245 2.0535 3.0698
5.3079 -0.2175 3.0466
1.6365 1.5233 0.7892
3.6192 -2.9443 3.9234
0.9642 4.7804 2.1930
2.9469 0.3127 5.3271
3.7751 2.5806 4.0018
0.8082 -0.7445 2.1146
3.2602 3.5366 1.5371
3.0513 1.8970 5.2412
1.5321 -0.0609 0.8751
```

## Properties
* SG: C2/m, No. 12
* raw total energy: -70.38 eV per cell



[10]
First-principles (PBE) data for a geometry-optimized Li2LaDyCl8 structure, as listed in Alexandria.

Structure (POSCAR):
```
Li2LaDyCl8
1.0
6.3464 -0.1888 -0.0077
-0.1778 6.3075 -0.0109
-0.0005 0.0041 8.2447
Cl Li Dy La
8 2 1 1
Cartesian
1.0766 4.9910 1.9443
5.0933 1.1309 1.9462
1.8971 1.8216 -0.0034
4.2710 4.3011 8.2296
5.0915 1.1317 6.2818
4.1965 4.2296 4.1033
1.9716 1.8931 4.1229
1.0748 4.9918 6.2800
3.0800 3.0574 6.2958
3.0881 3.0653 1.9303
0.0000 0.0000 0.0000
-0.0002 0.0020 4.1223
```

## Properties
* SG: P-1, No. 2
* raw total energy: -53.51 eV per cell



[11]
First-principles (PBE) data for a geometry-optimized TeAsRuSe2 structure, as listed in Alexandria.

Structure (POSCAR):
```
TeAsRuSe2
1.0
-3.2909 0.7811 -3.6253
-2.9516 -3.4861 1.9283
-2.1317 3.2643 2.6383
As Se Ru Te
1 2 1 1
Cartesian
-1.0659 1.6321 1.3192
-1.4758 -1.7430 0.9641
-1.6455 0.3905 -1.8127
0.0000 0.0000 0.0000
-4.1871 0.2796 0.4706
```

## Properties
* SG: P4/mmm, No. 123
* raw total energy: -22.05 eV per cell



[12]
First-principles (PBE) data for a geometry-optimized Mn2SiSe structure, as listed in Alexandria.

Structure (POSCAR):
```
Mn2SiSe
1.0
-1.8336 3.7819 -0.7115
-1.9893 0.7425 -3.6963
-4.2492 0.3222 -0.1064
Mn Se Si
2 1 1
Cartesian
-2.0180 1.2116 -1.1285
0.0000 0.0000 0.0000
-4.0361 2.4233 -2.2571
-6.0541 3.6349 -3.3856
```

## Properties
* SG: F-43m, No. 216
* raw total energy: -25.57 eV per cell